No. 1
Entry from the Alexandria database: a relaxed TmAlRu crystal (PBE).

Computed properties:
ΔH_f (0 K)	-0.4778	eV per atom

Lattice parameters (Å, degrees): 4.3404 4.3404 3.5198 90.00 90.00 120.00
With the nearest neighbours (Å) after each atom.
Space group P-6m2 (No. 187)
One atom of each set of equivalent atoms:
Tm 0.0000 0.0000 0.0000 [1 per cell]  6 Ru 3.06, 6 Al 3.06
Al 0.3333 0.6667 0.5000 [1 per cell]  3 Ru 2.51
Ru 0.6667 0.3333 0.5000 [1 per cell]  3 Al 2.51

---

No. 2
Entry from the Alexandria database: a relaxed Tm4Al12Ru crystal (PBE).

Computed properties:
ΔH_f (0 K)	-0.4756	eV per atom

Lattice parameters (Å, degrees): 8.5866 8.5866 8.5866 90.00 90.00 90.00
With the nearest neighbours (Å) after each atom.
Space group Im-3m (No. 229)
One atom of each set of equivalent atoms:
Tm 0.2500 0.2500 0.2500 [8 per cell]  12 Al 3.04-3.05
Al 0.0000 0.0000 0.2859 [12 per cell]  1 Ru 2.45
Al 0.0000 0.2500 0.5000 [12 per cell]  8 Al 2.83-3.04, 4 Tm 3.04
Ru 0.0000 0.0000 0.0000 [2 per cell]  6 Al 2.45

---

No. 3
Entry from the Alexandria database: a relaxed Tm8Al2Ru crystal (PBE).

Computed properties:
ΔH_f (0 K)	-0.2473	eV per atom

Lattice parameters (Å, degrees): 17.1520 5.1873 6.8274 90.00 112.07 90.00
With the nearest neighbours (Å) after each atom.
Space group C2/m (No. 12)
One atom of each set of equivalent atoms:
Tm 0.0148 0.0000 0.2787 [4 per cell]  2 Ru 3.06, 1 Al 3.09, 5 Tm 3.22-3.37
Tm 0.0984 0.5000 0.9198 [4 per cell]  1 Ru 2.73
Tm 0.1497 0.5000 0.4357 [4 per cell]  1 Ru 2.76, 1 Al 3.08
Tm 0.1977 0.0000 0.7717 [4 per cell]  3 Al 3.01-3.30, 3 Tm 3.34-3.35
Al 0.1790 0.0000 0.1922 [4 per cell]  9 Tm 3.01-3.30
Ru 0.0000 0.5000 0.5000 [2 per cell]  4 Tm 2.73-2.76

---

No. 4
Entry from the Alexandria database: a relaxed Tm2Al3Ru crystal (PBE).

Computed properties:
ΔH_f (0 K)	-0.5901	eV per atom

Lattice parameters (Å, degrees): 5.4396 5.4396 13.1770 90.00 90.00 120.00
With the nearest neighbours (Å) after each atom.
Space group R-3m (No. 166, hexagonal axes)
One atom of each set of equivalent atoms:
Tm 0.0000 0.0000 0.1271 [6 per cell]  9 Al 3.14-3.19, 3 Ru 3.18, 4 Tm 3.31-3.35
Al 0.0000 0.5000 0.0000 [9 per cell]  2 Ru 2.70, 4 Al 2.72
Ru 0.0000 0.0000 0.5000 [3 per cell]  6 Al 2.70

---

No. 5
Entry from the Alexandria database: a relaxed TmAlRu crystal (PBE).

Computed properties:
ΔH_f (0 K)	-0.3454	eV per atom

Lattice parameters (Å, degrees): 5.3629 9.8222 8.4428 90.00 90.00 90.00
With the nearest neighbours (Å) after each atom.
Space group Fdd2 (No. 43)
One atom of each set of equivalent atoms:
Tm 0.0000 0.0000 0.0000 [8 per cell]  5 Ru 2.82-3.03, 5 Al 2.93-3.05
Al 0.0000 0.0000 0.6392 [8 per cell]  3 Ru 2.58-2.84
Ru 0.0000 0.0000 0.3340 [8 per cell]  3 Al 2.58-2.84, 1 Tm 2.82

---

No. 6
Entry from the Alexandria database: a relaxed TmAlRu crystal (PBE).

Computed properties:
ΔH_f (0 K)	-0.5465	eV per atom

Lattice parameters (Å, degrees): 3.2771 3.2771 10.2483 90.00 90.00 90.00
With the nearest neighbours (Å) after each atom.
Space group I4mm (No. 107)
One atom of each set of equivalent atoms:
Tm 0.0000 0.0000 0.0000 [2 per cell]  4 Ru 2.94, 5 Al 2.97-3.17, 4 Tm 3.28
Al 0.0000 0.0000 0.2894 [2 per cell]  4 Ru 2.59
Ru 0.0000 0.0000 0.6760 [2 per cell]  4 Al 2.59

---

No. 7
Entry from the Alexandria database: a relaxed Tm6Al2Ru crystal (PBE).

Computed properties:
ΔH_f (0 K)	-0.1288	eV per atom

Lattice parameters (Å, degrees): 4.9583 6.9818 14.4588 90.00 90.00 90.00
With the nearest neighbours (Å) after each atom.
Space group Immm (No. 71)
One atom of each set of equivalent atoms:
Tm 0.0000 0.2335 0.0000 [4 per cell]  2 Ru 2.97, 2 Al 3.06, 1 Tm 3.26
Tm 0.0000 0.2563 0.3432 [8 per cell]  1 Ru 2.83, 3 Al 3.05-3.06
Al 0.0000 0.5000 0.1679 [4 per cell]  8 Tm 3.05-3.06
Ru 0.0000 0.5000 0.5000 [2 per cell]  8 Tm 2.83-2.97

---

No. 8
Entry from the Alexandria database: a relaxed Tm7Al2Ru2 crystal (PBE).

Computed properties:
ΔH_f (0 K)	-0.2209	eV per atom

Lattice parameters (Å, degrees): 7.6870 10.6923 6.9605 90.00 90.00 90.00
With the nearest neighbours (Å) after each atom.
Space group Cmmm (No. 65)
One atom of each set of equivalent atoms:
Tm 0.0000 0.0000 0.0000 [2 per cell]  2 Ru 3.18
Tm 0.0000 0.5000 0.2503 [4 per cell]  2 Ru 2.78, 2 Al 3.08
Tm 0.2500 0.2500 0.2592 [8 per cell]  2 Ru 2.69
Al 0.1690 0.0000 0.5000 [4 per cell]  1 Al 2.60
Ru 0.0000 0.2978 0.0000 [4 per cell]  6 Tm 2.69-2.78